No. 1
# KFe3P5, optimized geometry, DFT PBE-GGA
data_KFe3P5
_chemical_formula_sum 'K1 Fe3 P5'
_cell_length_a 4.915
_cell_length_b 4.915
_cell_length_c 7.863
_cell_angle_alpha 90.00
_cell_angle_beta 90.00
_cell_angle_gamma 120.00
_symmetry_space_group_name_H-M 'P 1'
_symmetry_Int_Tables_number 1
loop_
_symmetry_equiv_pos_as_xyz
'x,y,z'
loop_
_atom_site_label
_atom_site_type_symbol
_atom_site_fract_x
_atom_site_fract_y
_atom_site_fract_z
K1 K 0.000 0.000 0.000
Fe1 Fe 0.000 0.500 0.500
Fe2 Fe 0.500 0.000 0.500
Fe3 Fe 0.500 0.500 0.500
P1 P 0.000 0.000 0.500
P2 P 0.333 0.667 0.268
P3 P 0.333 0.667 0.732
P4 P 0.667 0.333 0.268
P5 P 0.667 0.333 0.732
# DFT total energy, eV per cell: -54.26


No. 2
# LiCuTeMoS2, optimized geometry, DFT PBE-GGA
data_LiCuTeMoS2
_chemical_formula_sum 'Li2 Cu2 Te2 Mo2 S4'
_cell_length_a 6.874
_cell_length_b 6.874
_cell_length_c 9.683
_cell_angle_alpha 90.00
_cell_angle_beta 90.00
_cell_angle_gamma 151.61
_symmetry_space_group_name_H-M 'P 1'
_symmetry_Int_Tables_number 1
loop_
_symmetry_equiv_pos_as_xyz
'x,y,z'
loop_
_atom_site_label
_atom_site_type_symbol
_atom_site_fract_x
_atom_site_fract_y
_atom_site_fract_z
Li1 Li 0.194 0.806 0.750
Li2 Li 0.806 0.194 0.250
Cu1 Cu 0.465 0.535 0.250
Cu2 Cu 0.535 0.465 0.750
Te1 Te 0.116 0.884 0.250
Te2 Te 0.884 0.116 0.750
Mo1 Mo 0.000 0.000 0.000
Mo2 Mo 0.000 0.000 0.500
S1 S 0.372 0.628 0.060
S2 S 0.372 0.628 0.440
S3 S 0.628 0.372 0.560
S4 S 0.628 0.372 0.940
# DFT total energy, eV per cell: -61.10


No. 3
# HfSc3C2S2, optimized geometry, DFT PBE-GGA
data_HfSc3C2S2
_chemical_formula_sum 'Hf1 Sc3 C2 S2'
_cell_length_a 3.427
_cell_length_b 3.427
_cell_length_c 11.964
_cell_angle_alpha 90.00
_cell_angle_beta 90.00
_cell_angle_gamma 120.00
_symmetry_space_group_name_H-M 'P 1'
_symmetry_Int_Tables_number 1
loop_
_symmetry_equiv_pos_as_xyz
'x,y,z'
loop_
_atom_site_label
_atom_site_type_symbol
_atom_site_fract_x
_atom_site_fract_y
_atom_site_fract_z
Hf1 Hf 0.000 0.000 0.000
Sc1 Sc 0.000 0.000 0.700
Sc2 Sc 0.333 0.667 0.206
Sc3 Sc 0.333 0.667 0.498
C1 C 0.667 0.333 0.097
C2 C 0.667 0.333 0.602
S1 S 0.000 0.000 0.351
S2 S 0.333 0.667 0.854
# DFT total energy, eV per cell: -66.35


No. 4
# DyZrNi, optimized geometry, DFT PBE-GGA
data_DyZrNi
_chemical_formula_sum 'Dy4 Zr4 Ni4'
_cell_length_a 6.466
_cell_length_b 6.466
_cell_length_c 6.466
_cell_angle_alpha 90.00
_cell_angle_beta 90.00
_cell_angle_gamma 90.00
_symmetry_space_group_name_H-M 'P 1'
_symmetry_Int_Tables_number 1
loop_
_symmetry_equiv_pos_as_xyz
'x,y,z'
loop_
_atom_site_label
_atom_site_type_symbol
_atom_site_fract_x
_atom_site_fract_y
_atom_site_fract_z
Dy1 Dy 0.000 0.000 0.000
Dy2 Dy 0.000 0.500 0.500
Dy3 Dy 0.500 0.000 0.500
Dy4 Dy 0.500 0.500 0.000
Zr1 Zr 0.000 0.000 0.500
Zr2 Zr 0.000 0.500 0.000
Zr3 Zr 0.500 0.000 0.000
Zr4 Zr 0.500 0.500 0.500
Ni1 Ni 0.250 0.250 0.250
Ni2 Ni 0.250 0.750 0.750
Ni3 Ni 0.750 0.250 0.750
Ni4 Ni 0.750 0.750 0.250
# DFT total energy, eV per cell: -74.68
# ΔH_f (0 K), eV per atom: 0.015


No. 5
# Hf2ZrNi2As4Pd2, optimized geometry, DFT PBE-GGA
data_Hf2ZrNi2As4Pd2
_chemical_formula_sum 'Hf2 Zr1 Ni2 As4 Pd2'
_cell_length_a 6.536
_cell_length_b 3.860
_cell_length_c 7.578
_cell_angle_alpha 90.00
_cell_angle_beta 90.88
_cell_angle_gamma 90.00
_symmetry_space_group_name_H-M 'P 1'
_symmetry_Int_Tables_number 1
loop_
_symmetry_equiv_pos_as_xyz
'x,y,z'
loop_
_atom_site_label
_atom_site_type_symbol
_atom_site_fract_x
_atom_site_fract_y
_atom_site_fract_z
Hf1 Hf 0.000 0.000 0.000
Hf2 Hf 0.494 0.000 0.123
Zr1 Zr 0.564 0.500 0.498
Ni1 Ni 0.185 0.500 0.253
Ni2 Ni 0.666 0.500 0.872
As1 As 0.272 0.000 0.427
As2 As 0.276 0.500 0.939
As3 As 0.787 0.500 0.176
As4 As 0.797 0.000 0.702
Pd1 Pd 0.399 0.000 0.749
Pd2 Pd 0.886 0.000 0.381
# DFT total energy, eV per cell: -77.13


No. 6
# Hf3Zn3Ni2Au, optimized geometry, DFT PBE-GGA
data_Hf3Zn3Ni2Au
_chemical_formula_sum 'Hf3 Zn3 Ni2 Au1'
_cell_length_a 7.060
_cell_length_b 7.060
_cell_length_c 3.391
_cell_angle_alpha 90.00
_cell_angle_beta 90.00
_cell_angle_gamma 120.00
_symmetry_space_group_name_H-M 'P 1'
_symmetry_Int_Tables_number 1
loop_
_symmetry_equiv_pos_as_xyz
'x,y,z'
loop_
_atom_site_label
_atom_site_type_symbol
_atom_site_fract_x
_atom_site_fract_y
_atom_site_fract_z
Hf1 Hf 0.000 0.593 0.000
Hf2 Hf 0.407 0.407 0.000
Hf3 Hf 0.593 0.000 0.000
Zn1 Zn 0.000 0.282 0.500
Zn2 Zn 0.282 0.000 0.500
Zn3 Zn 0.718 0.718 0.500
Ni1 Ni 0.333 0.667 0.500
Ni2 Ni 0.667 0.333 0.500
Au1 Au 0.000 0.000 0.000
# DFT total energy, eV per cell: -51.94
# ΔH_f (0 K), eV per atom: -0.431


Magnetization (μB/f.u.)
5.55 0.67 0.01 0.00 0.01 0.01